The following is a DFT calculation (GGA-PBE) of crystalline Tb2PuHfSb4 at its relaxed geometry.

Output
- DOS(E_F) (states/eV per cell) = 14.8
- ρ (g cm⁻³) = 8.90
- E_tot (eV per atom) = -7.08

abc: 7.4913 4.3203 7.4929
angles: 90.00 109.18 90.00
Sites, in units of the cell vectors:
Tb (0.0000, 0.0000, 0.0000)
Tb (0.5000, 0.5000, 0.0000)
Pu (0.0000, 0.5000, 0.5000)
Hf (0.5000, 0.0000, 0.5000)
Sb (0.2579, 0.0000, 0.7436)
Sb (0.2639, 0.5000, 0.2632)
Sb (0.7361, 0.5000, 0.7368)
Sb (0.7421, 0.0000, 0.2564)